(1)
La4Ge6Ir7: relaxed, PBE.

```
17
Lattice="-4.3248 4.3248 4.3248 4.3248 -4.3248 4.3248 4.3248 4.3248 -4.3248" Properties=species:S:1:pos:R:3 pbc="T T T"
La 2.1624 2.1624 -2.1624
La 2.1624 -2.1624 2.1624
La -2.1624 2.1624 2.1624
La 2.1624 2.1624 2.1624
Ge 2.8340 0.0000 0.0000
Ge 5.8157 0.0000 0.0000
Ge 0.0000 2.8340 0.0000
Ge 0.0000 0.0000 2.8340
Ge 0.0000 5.8157 0.0000
Ge 0.0000 0.0000 5.8157
Ir 0.0000 0.0000 0.0000
Ir 4.3248 2.1624 0.0000
Ir 4.3248 0.0000 2.1624
Ir 2.1624 4.3248 0.0000
Ir 2.1624 0.0000 4.3248
Ir 0.0000 4.3248 2.1624
Ir 0.0000 2.1624 4.3248
```

Output
* DFT formation energy: -0.77 eV/atom
* calculated volume: 19.034 Å³/atom
* symmetry: Im-3m

(2)
La2ZnCoC: relaxed, PBE.

```
5
Lattice="5.3657 0.0000 0.0000 0.0000 5.3657 0.0000 0.0000 0.0000 3.6541" Properties=species:S:1:pos:R:3 pbc="T T T"
La 0.0000 2.6829 0.0000
La 2.6829 0.0000 0.0000
Zn 0.0000 0.0000 1.8271
Co 2.6829 2.6829 1.8271
C 2.6829 2.6829 0.0000
```

Output
* DFT formation energy: -0.24 eV/atom
* calculated volume: 21.041 Å³/atom
* symmetry: P4/mmm